1.
DFT (PBE) results for an optimized crystal structure of CaAgAs3.

The value obtained for the formation energy is 0.837 eV/atom. The calculation puts the energy at -2.923 eV per atom. The value obtained for the energy above the most stable polymorph in this dataset is 635 meV/atom. The calculation puts the density of states at the Fermi level at 1.7 states/eV/cell.

Unit cell a=5.3344 b=5.3344 c=5.3344 alpha=90.00 beta=90.00 gamma=90.00
Space group Pm-3m (No. 221)
Inequivalent atoms, fractional coordinates:
1 Ca 0.0000 0.0000 0.0000 x1
2 Ag 0.5000 0.5000 0.5000 x1
3 As 0.0000 0.0000 0.5000 x3


2.
DFT (PBE) results for an optimized crystal structure of KSrCo2.

The value obtained for the formation energy is 1.178 eV/atom. The calculation puts the energy at -3.070 eV per atom. The value obtained for the energy above the most stable polymorph in this dataset is 807 meV/atom. The calculation puts the density of states at the Fermi level at 27.3 states/eV/cell.

Unit cell a=8.3844 b=8.3844 c=5.7315 alpha=90.00 beta=90.00 gamma=90.00
Space group I-42d (No. 122)
Inequivalent atoms, fractional coordinates:
1 K 0.0000 0.0000 0.0000 x4
2 Sr 0.0000 0.0000 0.5000 x4
3 Co 0.2483 0.2500 0.6250 x8